1.
## CeURe (PBE)

Data for an optimized crystal structure of CeURe.

Values from the calculation:
energy above the lowest structure with this stoichiometry	180.1	meV/atom
ΔE_f	83	kJ/mol of formula units

Cell and atoms, written as CIF:
```
data_CeURe
_cell_length_a 3.176
_cell_length_b 5.216
_cell_length_c 7.739
_cell_angle_alpha 90.00
_cell_angle_beta 90.00
_cell_angle_gamma 90.00
_symmetry_space_group_name_H-M 'P m m n'
_symmetry_Int_Tables_number 59
loop_
_symmetry_equiv_pos_as_xyz
'x,y,z'
'-x,-y,-z'
'-x+1/2,-y+1/2,z'
'x+1/2,y+1/2,-z'
'x+1/2,-y,-z'
'-x+1/2,y,z'
'-x,y+1/2,-z'
'x,-y+1/2,z'
loop_
_atom_site_label
_atom_site_fract_x
_atom_site_fract_y
_atom_site_fract_z
_atom_site_occupancy
Ce1 0.250 0.250 0.017 1
U1 0.250 0.250 0.376 1
Re1 0.250 0.750 0.322 1
```

2.
## CuGeS (PBE)

Data for an optimized crystal structure of CuGeS.

Values from the calculation:
formation energy without anion corrections	0.162	eV/atom

Cell and atoms, written as CIF:
```
data_CuGeS
_cell_length_a 3.277
_cell_length_b 3.277
_cell_length_c 10.759
_cell_angle_alpha 90.00
_cell_angle_beta 90.00
_cell_angle_gamma 90.00
_symmetry_space_group_name_H-M 'I 4 m m'
_symmetry_Int_Tables_number 107
_symmetry_space_group_name_Hall 'I 4 -2'
loop_
_atom_site_label
_atom_site_fract_x
_atom_site_fract_y
_atom_site_fract_z
_atom_site_occupancy
Cu1 0.000 0.000 0.000 1
Ge1 0.000 0.000 0.744 1
S1 0.000 0.000 0.522 1
```

3.
## LaHg2As (PBE)

Data for an optimized crystal structure of LaHg2As.

Values from the calculation:
ΔE_f	-202	kJ/mol of formula units

Cell and atoms, written as CIF:
```
data_LaHg2As
_cell_length_a 7.976
_cell_length_b 4.589
_cell_length_c 6.653
_cell_angle_alpha 90.00
_cell_angle_beta 113.41
_cell_angle_gamma 90.00
_symmetry_space_group_name_H-M 'C 1 m 1'
_symmetry_Int_Tables_number 8
_symmetry_space_group_name_Hall 'C -2y'
loop_
_atom_site_label
_atom_site_fract_x
_atom_site_fract_y
_atom_site_fract_z
_atom_site_occupancy
La1 0.000 0.000 0.000 1
Hg1 0.231 0.000 0.693 1
Hg2 0.489 0.000 0.468 1
As1 0.244 0.500 0.232 1
```

4.
## InCuRh2 (PBE)

Data for an optimized crystal structure of InCuRh2.

Values from the calculation:
ΔE_f	-16	kJ/mol of formula units

Cell and atoms, written as CIF:
```
data_InCuRh2
_cell_length_a 3.064
_cell_length_b 4.451
_cell_length_c 8.980
_cell_angle_alpha 90.00
_cell_angle_beta 90.00
_cell_angle_gamma 90.00
_symmetry_space_group_name_H-M 'I m m 2'
_symmetry_Int_Tables_number 44
_symmetry_space_group_name_Hall 'I 2 -2'
loop_
_atom_site_label
_atom_site_fract_x
_atom_site_fract_y
_atom_site_fract_z
_atom_site_occupancy
In1 0.000 0.000 0.000 1
Cu1 0.000 0.500 0.252 1
Rh1 0.000 0.000 0.514 1
Rh2 0.000 0.500 0.760 1
```

5.
## Ti6ZnPd (PBE)

Data for an optimized crystal structure of Ti6ZnPd.

Values from the calculation:
energy above the lowest structure with this stoichiometry	66.6	meV/atom
ΔE_f	-121	kJ/mol of formula units

Cell and atoms, written as CIF:
```
data_Ti6ZnPd
_cell_length_a 7.815
_cell_length_b 8.224
_cell_length_c 4.054
_cell_angle_alpha 90.00
_cell_angle_beta 90.00
_cell_angle_gamma 90.00
_symmetry_space_group_name_H-M 'C m m m'
_symmetry_Int_Tables_number 65
_symmetry_space_group_name_Hall '-C 2 2'
loop_
_atom_site_label
_atom_site_fract_x
_atom_site_fract_y
_atom_site_fract_z
_atom_site_occupancy
Ti1 0.000 0.232 0.000 1
Ti2 0.243 0.500 0.000 1
Ti3 0.250 0.250 0.500 1
Zn1 0.000 0.000 0.500 1
Pd1 0.000 0.500 0.500 1
```

6.
## Al3TlHg (PBE)

Data for an optimized crystal structure of Al3TlHg.

Values from the calculation:
energy above the lowest structure with this stoichiometry	0.0	meV/atom
ΔE_f	285	kJ/mol of formula units

Cell and atoms, written as CIF:
```
data_Al3TlHg
_cell_length_a 5.154
_cell_length_b 5.154
_cell_length_c 5.154
_cell_angle_alpha 90.00
_cell_angle_beta 90.00
_cell_angle_gamma 90.00
_symmetry_space_group_name_H-M 'P m -3 m'
_symmetry_Int_Tables_number 221
_symmetry_space_group_name_Hall '-P 4 2 3'
loop_
_atom_site_label
_atom_site_fract_x
_atom_site_fract_y
_atom_site_fract_z
_atom_site_occupancy
Al1 0.000 0.000 0.500 1
Tl1 0.500 0.500 0.500 1
Hg1 0.000 0.000 0.000 1
```